## w
Compound: MnAl2Cl
Source: the Alexandria database
Functional: GGA-PBE
Structure: optimized geometry

```
data_MnAl2Cl
_chemical_formula_sum 'Mn1 Al2 Cl1'
_space_group_name_H-M_alt 'P 1 2/m 1'
_space_group_IT_number 10
_cell_length_a 2.985
_cell_length_b 4.995
_cell_length_c 4.703
_cell_angle_alpha 90.00
_cell_angle_beta 91.17
_cell_angle_gamma 90.00
loop_
_space_group_symop_operation_xyz
'x,y,z'
'-x,-y,-z'
'-x,y,-z'
'x,-y,z'
loop_
_atom_site_label
_atom_site_type_symbol
_atom_site_fract_x
_atom_site_fract_y
_atom_site_fract_z
_atom_site_occupancy
Mn1 Mn 0.000 0.000 0.000 1
Al1 Al 0.275 0.500 0.241 1
Cl1 Cl 0.000 0.000 0.500 1
```

---

## x
Compound: MnAl2Cl
Source: the Alexandria database
Functional: GGA-PBE
Structure: optimized geometry

```
data_MnAl2Cl
_chemical_formula_sum 'Mn2 Al4 Cl2'
_space_group_name_H-M_alt 'I m m m'
_space_group_IT_number 71
_space_group_name_Hall '-I 2 2'
_cell_length_a 3.048
_cell_length_b 4.966
_cell_length_c 9.167
_cell_angle_alpha 90.00
_cell_angle_beta 90.00
_cell_angle_gamma 90.00
loop_
_atom_site_label
_atom_site_type_symbol
_atom_site_fract_x
_atom_site_fract_y
_atom_site_fract_z
_atom_site_occupancy
Mn1 Mn 0.000 0.000 0.000 1
Al1 Al 0.000 0.500 0.259 1
Cl1 Cl 0.000 0.000 0.500 1
```

---

Of them, x has the lowest stability.

---

## w
Compound: MnAl3Cl
Source: the Alexandria database
Functional: GGA-PBE
Structure: optimized geometry

```
data_MnAl3Cl
_chemical_formula_sum 'Mn1 Al3 Cl1'
_space_group_name_H-M_alt 'P m -3 m'
_space_group_IT_number 221
_space_group_name_Hall '-P 4 2 3'
_cell_length_a 4.816
_cell_length_b 4.816
_cell_length_c 4.816
_cell_angle_alpha 90.00
_cell_angle_beta 90.00
_cell_angle_gamma 90.00
loop_
_atom_site_label
_atom_site_type_symbol
_atom_site_fract_x
_atom_site_fract_y
_atom_site_fract_z
_atom_site_occupancy
Mn1 Mn 0.000 0.000 0.000 1
Al1 Al 0.000 0.500 0.500 1
Cl1 Cl 0.500 0.500 0.500 1
```

---

## x
Compound: MnAl3Cl
Source: the Alexandria database
Functional: GGA-PBE
Structure: optimized geometry

```
data_MnAl3Cl
_chemical_formula_sum 'Mn1 Al3 Cl1'
_space_group_name_H-M_alt 'P m -3 m'
_space_group_IT_number 221
_space_group_name_Hall '-P 4 2 3'
_cell_length_a 4.804
_cell_length_b 4.804
_cell_length_c 4.804
_cell_angle_alpha 90.00
_cell_angle_beta 90.00
_cell_angle_gamma 90.00
loop_
_atom_site_label
_atom_site_type_symbol
_atom_site_fract_x
_atom_site_fract_y
_atom_site_fract_z
_atom_site_occupancy
Mn1 Mn 0.000 0.000 0.000 1
Al1 Al 0.000 0.000 0.500 1
Cl1 Cl 0.500 0.500 0.500 1
```

---

Of them, w has the lowest stability.

---

## w
Compound: MnAlPCl2
Source: the Alexandria database
Functional: GGA-PBE
Structure: optimized geometry

```
data_MnAlPCl2
_chemical_formula_sum 'Mn1 Al1 P1 Cl2'
_space_group_name_H-M_alt 'P 4/m m m'
_space_group_IT_number 123
_space_group_name_Hall '-P 4 2'
_cell_length_a 4.556
_cell_length_b 4.556
_cell_length_c 5.084
_cell_angle_alpha 90.00
_cell_angle_beta 90.00
_cell_angle_gamma 90.00
loop_
_atom_site_label
_atom_site_type_symbol
_atom_site_fract_x
_atom_site_fract_y
_atom_site_fract_z
_atom_site_occupancy
Mn1 Mn 0.000 0.000 0.000 1
Al1 Al 0.500 0.500 0.500 1
P1 P 0.500 0.500 0.000 1
Cl1 Cl 0.000 0.500 0.500 1
```

---

## x
Compound: MnAlPCl2
Source: the Alexandria database
Functional: GGA-PBE
Structure: optimized geometry

```
data_MnAlPCl2
_chemical_formula_sum 'Mn1 Al1 P1 Cl2'
_space_group_name_H-M_alt 'P 4/m m m'
_space_group_IT_number 123
_space_group_name_Hall '-P 4 2'
_cell_length_a 4.932
_cell_length_b 4.932
_cell_length_c 4.665
_cell_angle_alpha 90.00
_cell_angle_beta 90.00
_cell_angle_gamma 90.00
loop_
_atom_site_label
_atom_site_type_symbol
_atom_site_fract_x
_atom_site_fract_y
_atom_site_fract_z
_atom_site_occupancy
Mn1 Mn 0.000 0.000 0.000 1
Al1 Al 0.500 0.500 0.500 1
P1 P 0.000 0.000 0.500 1
Cl1 Cl 0.000 0.500 0.000 1
```

---

Of them, x has the lowest stability.

---

## w
Compound: MnAlS2Cl
Source: the Alexandria database
Functional: GGA-PBE
Structure: optimized geometry

```
data_MnAlS2Cl
_chemical_formula_sum 'Mn1 Al1 S2 Cl1'
_space_group_name_H-M_alt 'P 4/m m m'
_space_group_IT_number 123
_space_group_name_Hall '-P 4 2'
_cell_length_a 4.693
_cell_length_b 4.693
_cell_length_c 4.548
_cell_angle_alpha 90.00
_cell_angle_beta 90.00
_cell_angle_gamma 90.00
loop_
_atom_site_label
_atom_site_type_symbol
_atom_site_fract_x
_atom_site_fract_y
_atom_site_fract_z
_atom_site_occupancy
Mn1 Mn 0.000 0.000 0.000 1
Al1 Al 0.500 0.500 0.500 1
S1 S 0.000 0.500 0.500 1
Cl1 Cl 0.500 0.500 0.000 1
```

---

## x
Compound: MnAlS2Cl
Source: the Alexandria database
Functional: GGA-PBE
Structure: optimized geometry

```
data_MnAlS2Cl
_chemical_formula_sum 'Mn1 Al1 S2 Cl1'
_space_group_name_H-M_alt 'P 4/m m m'
_space_group_IT_number 123
_space_group_name_Hall '-P 4 2'
_cell_length_a 4.408
_cell_length_b 4.408
_cell_length_c 4.919
_cell_angle_alpha 90.00
_cell_angle_beta 90.00
_cell_angle_gamma 90.00
loop_
_atom_site_label
_atom_site_type_symbol
_atom_site_fract_x
_atom_site_fract_y
_atom_site_fract_z
_atom_site_occupancy
Mn1 Mn 0.000 0.000 0.000 1
Al1 Al 0.500 0.500 0.500 1
S1 S 0.000 0.500 0.000 1
Cl1 Cl 0.000 0.000 0.500 1
```

---

Of them, x has the lowest stability.

---

## w
Compound: MnAlSCl2
Source: the Alexandria database
Functional: GGA-PBE
Structure: optimized geometry

```
data_MnAlSCl2
_chemical_formula_sum 'Mn1 Al1 S1 Cl2'
_space_group_name_H-M_alt 'P 4/m m m'
_space_group_IT_number 123
_space_group_name_Hall '-P 4 2'
_cell_length_a 4.711
_cell_length_b 4.711
_cell_length_c 4.746
_cell_angle_alpha 90.00
_cell_angle_beta 90.00
_cell_angle_gamma 90.00
loop_
_atom_site_label
_atom_site_type_symbol
_atom_site_fract_x
_atom_site_fract_y
_atom_site_fract_z
_atom_site_occupancy
Mn1 Mn 0.000 0.000 0.000 1
Al1 Al 0.500 0.500 0.500 1
S1 S 0.500 0.500 0.000 1
Cl1 Cl 0.000 0.500 0.500 1
```

---

## x
Compound: MnAlSCl2
Source: the Alexandria database
Functional: GGA-PBE
Structure: optimized geometry

```
data_MnAlSCl2
_chemical_formula_sum 'Mn1 Al1 S1 Cl2'
_space_group_name_H-M_alt 'P 4/m m m'
_space_group_IT_number 123
_space_group_name_Hall '-P 4 2'
_cell_length_a 4.892
_cell_length_b 4.892
_cell_length_c 4.290
_cell_angle_alpha 90.00
_cell_angle_beta 90.00
_cell_angle_gamma 90.00
loop_
_atom_site_label
_atom_site_type_symbol
_atom_site_fract_x
_atom_site_fract_y
_atom_site_fract_z
_atom_site_occupancy
Mn1 Mn 0.000 0.000 0.000 1
Al1 Al 0.500 0.500 0.500 1
S1 S 0.000 0.000 0.500 1
Cl1 Cl 0.000 0.500 0.000 1
```

---

Of them, x has the lowest stability.

---

## w
Compound: AlMoCl2
Source: the Alexandria database
Functional: GGA-PBE
Structure: optimized geometry

```
data_AlMoCl2
_chemical_formula_sum 'Al2 Mo2 Cl4'
_space_group_name_H-M_alt 'C m m m'
_space_group_IT_number 65
_space_group_name_Hall '-C 2 2'
_cell_length_a 2.977
_cell_length_b 5.715
_cell_length_c 9.412
_cell_angle_alpha 90.00
_cell_angle_beta 90.00
_cell_angle_gamma 90.00
loop_
_atom_site_label
_atom_site_type_symbol
_atom_site_fract_x
_atom_site_fract_y
_atom_site_fract_z
_atom_site_occupancy
Al1 Al 0.000 0.000 0.000 1
Mo1 Mo 0.000 0.000 0.500 1
Cl1 Cl 0.000 0.500 0.291 1
```

---

## x
Compound: AlMoCl2
Source: the Alexandria database
Functional: GGA-PBE
Structure: optimized geometry

```
data_AlMoCl2
_chemical_formula_sum 'Al4 Mo4 Cl8'
_space_group_name_H-M_alt 'I -4 2 d'
_space_group_IT_number 122
_space_group_name_Hall 'I -4 2bw'
_cell_length_a 4.155
_cell_length_b 4.155
_cell_length_c 16.992
_cell_angle_alpha 90.00
_cell_angle_beta 90.00
_cell_angle_gamma 90.00
loop_
_atom_site_label
_atom_site_type_symbol
_atom_site_fract_x
_atom_site_fract_y
_atom_site_fract_z
_atom_site_occupancy
Al1 Al 0.000 0.000 0.000 1
Mo1 Mo 0.000 0.000 0.500 1
Cl1 Cl 0.236 0.250 0.625 1
```

---

## y
Compound: AlMoCl2
Source: the Alexandria database
Functional: GGA-PBE
Structure: optimized geometry

```
data_AlMoCl2
_chemical_formula_sum 'Al3 Mo3 Cl6'
_space_group_name_H-M_alt 'R -3 m'
_space_group_IT_number 166
_space_group_name_Hall '-R 3 2"'
_cell_length_a 3.0350
_cell_length_b 3.0350
_cell_length_c 28.1985
_cell_angle_alpha 90.00
_cell_angle_beta 90.00
_cell_angle_gamma 120.00
loop_
_atom_site_label
_atom_site_type_symbol
_atom_site_fract_x
_atom_site_fract_y
_atom_site_fract_z
_atom_site_occupancy
Al1 Al 0.0000 0.0000 0.0000 1
Mo1 Mo 0.0000 0.0000 0.5000 1
Cl1 Cl 0.0000 0.0000 0.4182 1
```

---

Of them, x has the lowest stability.

---

## w
Compound: AlMoCl3
Source: the Alexandria database
Functional: GGA-PBE
Structure: optimized geometry

```
data_AlMoCl3
_chemical_formula_sum 'Al1 Mo1 Cl3'
_space_group_name_H-M_alt 'P m -3 m'
_space_group_IT_number 221
_space_group_name_Hall '-P 4 2 3'
_cell_length_a 5.119
_cell_length_b 5.119
_cell_length_c 5.119
_cell_angle_alpha 90.00
_cell_angle_beta 90.00
_cell_angle_gamma 90.00
loop_
_atom_site_label
_atom_site_type_symbol
_atom_site_fract_x
_atom_site_fract_y
_atom_site_fract_z
_atom_site_occupancy
Al1 Al 0.000 0.000 0.000 1
Mo1 Mo 0.500 0.500 0.500 1
Cl1 Cl 0.000 0.500 0.500 1
```

---

## x
Compound: AlMoCl3
Source: the Alexandria database
Functional: GGA-PBE
Structure: optimized geometry

```
data_AlMoCl3
_chemical_formula_sum 'Al1 Mo1 Cl3'
_space_group_name_H-M_alt 'P m -3 m'
_space_group_IT_number 221
_space_group_name_Hall '-P 4 2 3'
_cell_length_a 4.921
_cell_length_b 4.921
_cell_length_c 4.921
_cell_angle_alpha 90.00
_cell_angle_beta 90.00
_cell_angle_gamma 90.00
loop_
_atom_site_label
_atom_site_type_symbol
_atom_site_fract_x
_atom_site_fract_y
_atom_site_fract_z
_atom_site_occupancy
Al1 Al 0.000 0.000 0.000 1
Mo1 Mo 0.500 0.500 0.500 1
Cl1 Cl 0.000 0.000 0.500 1
```

---

Of them, x has the lowest stability.

---

## w
Compound: AlMoPCl2
Source: the Alexandria database
Functional: GGA-PBE
Structure: optimized geometry

```
data_AlMoPCl2
_chemical_formula_sum 'Al1 Mo1 P1 Cl2'
_space_group_name_H-M_alt 'P 4/m m m'
_space_group_IT_number 123
_space_group_name_Hall '-P 4 2'
_cell_length_a 4.518
_cell_length_b 4.518
_cell_length_c 5.121
_cell_angle_alpha 90.00
_cell_angle_beta 90.00
_cell_angle_gamma 90.00
loop_
_atom_site_label
_atom_site_type_symbol
_atom_site_fract_x
_atom_site_fract_y
_atom_site_fract_z
_atom_site_occupancy
Al1 Al 0.000 0.000 0.000 1
Mo1 Mo 0.500 0.500 0.500 1
P1 P 0.000 0.000 0.500 1
Cl1 Cl 0.000 0.500 0.000 1
```

---

## x
Compound: AlMoPCl2
Source: the Alexandria database
Functional: GGA-PBE
Structure: optimized geometry

```
data_AlMoPCl2
_chemical_formula_sum 'Al1 Mo1 P1 Cl2'
_space_group_name_H-M_alt 'P 4/m m m'
_space_group_IT_number 123
_space_group_name_Hall '-P 4 2'
_cell_length_a 4.998
_cell_length_b 4.998
_cell_length_c 4.718
_cell_angle_alpha 90.00
_cell_angle_beta 90.00
_cell_angle_gamma 90.00
loop_
_atom_site_label
_atom_site_type_symbol
_atom_site_fract_x
_atom_site_fract_y
_atom_site_fract_z
_atom_site_occupancy
Al1 Al 0.000 0.000 0.000 1
Mo1 Mo 0.500 0.500 0.500 1
P1 P 0.500 0.500 0.000 1
Cl1 Cl 0.000 0.500 0.500 1
```

---

Of them, w has the lowest stability.